Here is a relaxed structure of KRb2Na6 from Alexandria. Energies are from GGA-PBE.

Calculated values
- Crystal system: cubic
- Formation energy from the elements: 0.08 eV/atom

abc: 8.895 8.895 8.895
angles: 60.00 60.00 60.00
Element x y z (fractional)
K: 0.000 0.000 0.000
Rb: 0.250 0.250 0.250
Rb: 0.750 0.750 0.750
Na: 0.702 0.702 0.298
Na: 0.298 0.702 0.702
Na: 0.298 0.702 0.298
Na: 0.298 0.298 0.702
Na: 0.702 0.298 0.298
Na: 0.702 0.298 0.702

---

Here is a relaxed structure of K16Rb6Na7 from Alexandria. Energies are from GGA-PBE.

Calculated values
- Crystal system: cubic
- Formation energy from the elements: 0.02 eV/atom

abc: 14.038 14.038 14.038
angles: 60.00 60.00 60.00
Element x y z (fractional)
K: 0.497 0.834 0.834
K: 0.834 0.497 0.834
K: 0.834 0.834 0.834
K: 0.834 0.834 0.497
K: 0.166 0.503 0.166
K: 0.503 0.166 0.166
K: 0.166 0.166 0.166
K: 0.166 0.166 0.503
K: 0.150 0.617 0.617
K: 0.617 0.150 0.617
K: 0.617 0.617 0.617
K: 0.617 0.617 0.150
K: 0.383 0.850 0.383
K: 0.850 0.383 0.383
K: 0.383 0.383 0.383
K: 0.383 0.383 0.850
Rb: 0.197 0.803 0.197
Rb: 0.803 0.197 0.803
Rb: 0.197 0.803 0.803
Rb: 0.803 0.197 0.197
Rb: 0.197 0.197 0.803
Rb: 0.803 0.803 0.197
Na: 0.500 0.500 0.500
Na: 0.500 0.000 0.500
Na: 0.000 0.500 0.000
Na: 0.500 0.000 0.000
Na: 0.000 0.500 0.500
Na: 0.500 0.500 0.000
Na: 0.000 0.000 0.500

---

Here is a relaxed structure of K7RbNa4 from Alexandria. Energies are from GGA-PBE.

Calculated values
- Crystal system: monoclinic
- Formation energy from the elements: 0.05 eV/atom

abc: 7.485 11.625 9.986
angles: 73.55 67.99 71.22
Element x y z (fractional)
K: 0.783 0.889 0.546
K: 0.217 0.111 0.454
K: 0.068 0.596 0.267
K: 0.932 0.404 0.733
K: 0.287 0.663 0.762
K: 0.500 0.000 0.000
K: 0.713 0.337 0.238
Rb: 0.000 0.000 0.000
Na: 0.537 0.269 0.657
Na: 0.463 0.731 0.343
Na: 0.682 0.659 0.978
Na: 0.318 0.341 0.022

---

Here is a relaxed structure of KRbNa from Alexandria. Energies are from GGA-PBE.

Calculated values
- Crystal system: trigonal
- ΔE to the lowest computed polymorph: 0.021 eV per atom
- Formation energy from the elements: 0.04 eV/atom

abc: 4.601 6.986 6.986
angles: 120.00 90.00 90.00
Element x y z (fractional)
Na: 0.307 0.333 0.667
K: 0.041 0.000 0.000
Rb: 0.652 0.667 0.333

---

The highest formation energy from the elements belongs to which entry?
KRb2Na6